An optimized crystal structure of TlCoIrO6. Source: Alexandria, functional PBE+U. Values from VASP.

Output
- DOS(E_F): 4.9 states/eV/f.u.
- Energy: -5.637 eV per atom

The structure in Quantum ESPRESSO input format:
```
&SYSTEM
  ibrav = 0, nat = 9, ntyp = 4
/
ATOMIC_SPECIES
Co 58.93 Co.upf
Tl 204.38 Tl.upf
O 16.00 O.upf
Ir 192.22 Ir.upf
ATOMIC_POSITIONS crystal
Co 0.0000 0.3333 0.6667
Tl 0.5000 0.6667 0.3333
O 0.7526 0.6980 0.7127
O 0.7526 0.0147 0.3020
O 0.7526 0.2873 0.9853
O 0.2474 0.0147 0.7127
O 0.2474 0.6980 0.9853
O 0.2474 0.2873 0.3020
Ir 0.5000 0.0000 0.0000
CELL_PARAMETERS angstrom
-3.0523 -2.8997 -0.9424
3.5850 -4.0061 0.7151
-2.9666 1.7630 4.1837
```